Entry 1:
NiAgAu2: optimized geometry, PBE-GGA.

## Properties
For the energy, the calculation gives -3.770 eV/atom. For the volume, the calculation gives 65 Å³ per cell. The polymorph energy (0 for the lowest one) comes out at 0 meV/atom. For the formation enthalpy at 0 K, the calculation gives 0.027 eV per atom. Its density is 14338 kg/m³.

Cell: 2.9404 2.9404 7.5079 Å, 90.00 90.00 90.01°
Closest atoms and distances in Å follow each position.
Fractional positions:
Au (0.0000, 0.0000, 0.0272)  4 Ni 2.67, 4 Au 2.94, 4 Ag 2.94
Au (0.0000, 0.0000, 0.4728)  4 Ni 2.67, 4 Au 2.94, 4 Ag 2.94
Ag (0.5000, 0.5000, 0.7500)  4 Ag 2.94, 8 Au 2.94
Ni (0.5000, 0.5000, 0.2500)  8 Au 2.67, 4 Ni 2.94


Entry 2:
PrSmZnHg: optimized geometry, PBE-GGA.

## Properties
For the energy, the calculation gives -3.138 eV/atom. For the volume, the calculation gives 107 Å³ per cell. The polymorph energy (0 for the lowest one) comes out at 27 meV/atom. For the formation enthalpy at 0 K, the calculation gives -0.370 eV per atom. Its density is 8668 kg/m³.

Cell: 5.3248 5.3248 5.3248 Å, 60.00 60.00 60.00°
Closest atoms and distances in Å follow each position.
Fractional positions:
Hg (0.0000, 0.0000, 0.0000)  4 Pr 3.26, 4 Sm 3.26
Pr (0.7500, 0.7500, 0.7500)  4 Hg 3.26, 4 Zn 3.26
Zn (0.5000, 0.5000, 0.5000)  4 Sm 3.26, 4 Pr 3.26
Sm (0.2500, 0.2500, 0.2500)  4 Hg 3.26, 4 Zn 3.26


Entry 3:
TaTeP: optimized geometry, PBE-GGA.

## Properties
For the energy, the calculation gives -6.968 eV/atom. For the volume, the calculation gives 137 Å³ per cell. The polymorph energy (0 for the lowest one) comes out at 148 meV/atom. Its density is 8206 kg/m³. The calculation puts the raw formation energy at -0.50 eV/f.u.

Cell: 6.6412 4.9300 6.6412 Å, 68.23 63.30 111.77°
Closest atoms and distances in Å follow each position.
Fractional positions:
Ta (0.3659, 0.0000, 0.6341)  4 P 2.46-2.47
Ta (0.8660, 0.0000, 0.1340)  4 P 2.46-2.47
Te (0.6157, 0.0000, 0.8843)  2 Ta 2.83
Te (0.1157, 0.0000, 0.3843)  2 Ta 2.83
P (0.3660, 0.5000, 0.6340)  4 Ta 2.46-2.47
P (0.8659, 0.5000, 0.1341)  4 Ta 2.46-2.47


Entry 4:
AcPmHoTm: optimized geometry, PBE-GGA.

## Properties
For the energy, the calculation gives -4.368 eV/atom. For the volume, the calculation gives 141 Å³ per cell. The polymorph energy (0 for the lowest one) comes out at 48 meV/atom. For the formation enthalpy at 0 K, the calculation gives 0.109 eV per atom. Its density is 8339 kg/m³.

Cell: 5.8362 5.8362 5.8362 Å, 60.00 60.00 60.00°
Closest atoms and distances in Å follow each position.
Fractional positions:
Ac (0.7500, 0.7500, 0.7500)  4 Tm 3.57, 4 Ho 3.57
Ho (0.5000, 0.5000, 0.5000)  4 Ac 3.57, 4 Pm 3.57
Pm (0.2500, 0.2500, 0.2500)  4 Ho 3.57, 4 Tm 3.57
Tm (0.0000, 0.0000, 0.0000)  4 Pm 3.57, 4 Ac 3.57


Entry 5:
La3CoPb: optimized geometry, PBE-GGA.

## Properties
For the energy, the calculation gives -5.462 eV/atom. For the volume, the calculation gives 294 Å³ per cell. The polymorph energy (0 for the lowest one) comes out at 52 meV/atom. For the formation enthalpy at 0 K, the calculation gives -0.343 eV per atom. Its density is 7710 kg/m³.

Cell: 8.3988 8.4216 4.8135 Å, 90.00 90.00 59.75°
Closest atoms and distances in Å follow each position.
Fractional positions:
La (0.2119, 0.3041, 0.9849)  1 Co 2.78
La (0.0503, 0.9852, 0.4849)  1 Co 2.78
La (0.7688, 0.9327, 0.9851)  1 Co 2.44
La (0.3965, 0.7126, 0.9850)  1 Co 2.75
La (0.4933, 0.3567, 0.4849)  1 Co 2.44
La (0.8654, 0.5768, 0.4850)  1 Co 2.75
Co (0.1753, 0.6100, 0.4850)  1 La 2.44, 2 Co 2.50
Co (0.0866, 0.6793, 0.9850)  1 La 2.44, 2 Co 2.50
Pb (0.4535, 0.9741, 0.4849)  9 La 3.34-3.46
Pb (0.8087, 0.3152, 0.9849)  9 La 3.34-3.46


Entry 6:
LaTb2Pm2: optimized geometry, PBE-GGA.

## Properties
For the energy, the calculation gives -4.615 eV/atom. For the volume, the calculation gives 343 Å³ per cell. The polymorph energy (0 for the lowest one) comes out at 0 meV/atom. For the formation enthalpy at 0 K, the calculation gives 0.123 eV per atom. Its density is 7232 kg/m³.

Cell: 6.3819 6.3819 9.5061 Å, 107.45 109.43 93.32°
Closest atoms and distances in Å follow each position.
Fractional positions:
Pm (0.7940, 0.2218, 0.6621)  4 Tb 3.32-3.59, 1 Pm 3.37, 3 La 3.47-3.59
Pm (0.2060, 0.7782, 0.3379)  4 Tb 3.32-3.59, 1 Pm 3.37, 3 La 3.47-3.59
Pm (0.5597, 0.6320, 0.8379)  4 Tb 3.32-3.59, 1 Pm 3.37, 3 La 3.47-3.59
Pm (0.4403, 0.3680, 0.1621)  4 Tb 3.32-3.59, 1 Pm 3.37, 3 La 3.47-3.59
La (0.6740, 0.9240, 0.2500)  6 Pm 3.47-3.59, 4 Tb 3.58-3.70
La (0.3260, 0.0760, 0.7500)  6 Pm 3.47-3.59, 4 Tb 3.58-3.70
Tb (0.2070, 0.3343, 0.4522)  4 Pm 3.32-3.59, 2 Tb 3.57-3.66, 2 La 3.58-3.70
Tb (0.8820, 0.2548, 0.0478)  4 Pm 3.32-3.59, 2 Tb 3.57-3.66, 2 La 3.58-3.70
Tb (0.1180, 0.7452, 0.9522)  4 Pm 3.32-3.59, 2 Tb 3.57-3.66, 2 La 3.58-3.70
Tb (0.7930, 0.6657, 0.5478)  4 Pm 3.32-3.59, 2 Tb 3.57-3.66, 2 La 3.58-3.70